(1)
BeRhAu2 | PBE | relaxed

Lattice parameters (Å, degrees): 3.8459 2.9930 5.4808 72.06 90.00 90.00
Closest atoms and distances in Å follow each position.
Fractional coordinates of all 4 atoms:
Rh 0.5000 0.7500 0.7500  2 Be 2.69, 8 Au 2.80-2.83, 2 Rh 2.99
Au 0.0000 0.1058 0.0205  2 Be 2.41
Au 0.0000 0.3942 0.4795  2 Be 2.41
Be 0.5000 0.2500 0.2500  4 Au 2.41, 2 Rh 2.69

## Properties
Total DFT energy (no corrections): -0.31922 Ry/atom
D(E_F): 3.6 states/eV/cell
Energy of formation from the pure elements: 64.8 meV per atom


(2)
ZrNi2P2 | PBE | relaxed

Lattice parameters (Å, degrees): 3.7084 3.7084 5.5168 110.43 110.43 89.82
Closest atoms and distances in Å follow each position.
Fractional coordinates of all 5 atoms:
Ni 0.7519 0.2481 0.5000  4 P 2.24-2.25
Ni 0.2481 0.7519 0.5000  4 P 2.24-2.25
Zr 0.0000 0.0000 0.0000  8 P 2.82-2.91, 8 Ni 3.02-3.05
P 0.6129 0.6129 0.2363  4 Ni 2.24-2.25, 1 P 2.27
P 0.3871 0.3871 0.7637  4 Ni 2.24-2.25, 1 P 2.27

## Properties
Total DFT energy (no corrections): -0.51652 Ry/atom
D(E_F): 1.8 states/eV/cell
Energy of formation from the pure elements: -841.4 meV per atom


(3)
ZrWCl2 | PBE | relaxed

Lattice parameters (Å, degrees): 5.0741 5.0741 5.3918 67.72 67.72 36.88
Closest atoms and distances in Å follow each position.
Fractional coordinates of all 4 atoms:
Zr 0.2625 0.2625 0.1603  5 Cl 2.64-2.74
W 0.4691 0.4691 0.4831  4 Cl 2.44-2.54
Cl 0.9915 0.9915 0.1045  2 W 2.54, 3 Zr 2.64-2.74
Cl 0.7768 0.7768 0.7520  2 W 2.44, 2 Zr 2.68

## Properties
Formation energy (no corrections): 0.1761 eV per atom
Excess energy over the best structure of this formula in the dataset: 682.4 meV/atom
Total DFT energy (no corrections): -0.45000 Ry/atom
D(E_F): 1.6 states/eV/cell


(4)
CuBrCl2 | PBE | relaxed

Lattice parameters (Å, degrees): 4.9461 4.9461 4.9461 60.00 60.00 60.00
Closest atoms and distances in Å follow each position.
Fractional coordinates of all 4 atoms:
Cu 0.0000 0.0000 0.0000  8 Cl 3.03
Br 0.5000 0.5000 0.5000  8 Cl 3.03
Cl 0.2500 0.2500 0.2500  4 Br 3.03, 4 Cu 3.03
Cl 0.7500 0.7500 0.7500  4 Br 3.03, 4 Cu 3.03

## Properties
Formation energy (no corrections): 0.5338 eV per atom
Excess energy over the best structure of this formula in the dataset: 785.9 meV/atom
Total DFT energy (no corrections): -0.13464 Ry/atom
D(E_F): 2.3 states/eV/cell


(5)
PmTaSi | PBE | relaxed

Lattice parameters (Å, degrees): 4.0394 4.0394 8.0525 90.00 90.00 90.00
Closest atoms and distances in Å follow each position.
Fractional coordinates of all 6 atoms:
Pm 0.0000 0.5000 0.8509  4 Si 3.03
Pm 0.5000 0.0000 0.1491  4 Si 3.03
Ta 0.5000 0.5000 0.5000  4 Si 2.72, 4 Ta 2.86
Ta 0.0000 0.0000 0.5000  4 Si 2.72, 4 Ta 2.86
Si 0.0000 0.5000 0.2739  4 Ta 2.72, 4 Pm 3.03
Si 0.5000 0.0000 0.7261  4 Ta 2.72, 4 Pm 3.03

## Properties
Formation energy (no corrections): -0.5520 eV per atom
Excess energy over the best structure of this formula in the dataset: 0.0 meV/atom
Total DFT energy (no corrections): -0.58021 Ry/atom
D(E_F): 4.3 states/eV/cell


(6)
LiZrPb4 | PBE | relaxed

Lattice parameters (Å, degrees): 6.3369 6.3369 6.3369 60.00 60.00 60.00
Closest atoms and distances in Å follow each position.
Fractional coordinates of all 6 atoms:
Li 0.0000 0.0000 0.0000  12 Pb 3.72, 4 Zr 3.88
Zr 0.7500 0.7500 0.7500  12 Pb 3.71, 4 Li 3.88
Pb 0.8730 0.3757 0.3757  6 Pb 3.15-3.19
Pb 0.3757 0.3757 0.8730  6 Pb 3.15-3.19
Pb 0.3757 0.8730 0.3757  6 Pb 3.15-3.19
Pb 0.3757 0.3757 0.3757  6 Pb 3.15-3.19

## Properties
Total DFT energy (no corrections): -0.28519 Ry/atom
D(E_F): 6.3 states/eV/cell
Energy of formation from the pure elements: 335.7 meV per atom


(7)
TbEr6Tm | PBE | relaxed

Lattice parameters (Å, degrees): 6.6596 6.4833 6.8505 76.72 60.65 89.82
Closest atoms and distances in Å follow each position.
Fractional coordinates of all 8 atoms:
Tb 0.0000 0.0000 0.0000  2 Tm 3.24, 4 Er 3.34-3.42
Er 0.0934 0.7686 0.4818  6 Er 3.23-3.61, 1 Tm 3.32
Er 0.5714 0.7295 0.5229  6 Er 3.24-3.62, 1 Tb 3.34, 1 Tm 3.60
Er 0.4286 0.2705 0.4771  6 Er 3.24-3.62, 1 Tb 3.34, 1 Tm 3.60
Er 0.9066 0.2314 0.5182  6 Er 3.23-3.61, 1 Tm 3.32
Er 0.5491 0.7489 0.0012  6 Er 3.23-3.62, 1 Tm 3.40, 1 Tb 3.42
Er 0.4509 0.2511 0.9988  6 Er 3.23-3.62, 1 Tm 3.40, 1 Tb 3.42
Tm 0.0000 0.5000 0.0000  2 Tb 3.24, 6 Er 3.32-3.60

## Properties
Excess energy over the best structure of this formula in the dataset: 191.4 meV/atom
Total DFT energy (no corrections): -0.31949 Ry/atom
D(E_F): 14.0 states/eV/cell
Energy of formation from the pure elements: 213.0 meV per atom


| no. | magnetic moment (μB per cell) |
| --- | --- |
| 1 | 0.000 |
| 2 | 0.000 |
| 3 | 0.000 |
| 4 | 2.000 |
| 5 | 0.800 |
| 6 | 0.669 |
| 7 | 0.001 |